Entry 1:
First-principles (PBE) data for CuMoIr2 after structural relaxation, as listed in Alexandria via LeMat-Bulk.

Computed properties:
* formation energy: 0.040 eV/atom
* D(E_F): 5.30 states/eV/f.u.
* energy above the most stable polymorph in this dataset: 16.3 kJ/mol of atoms
* total DFT energy (no corrections): -8.122 eV/atom
* M_tot: 0.00 μB/cell
* crystal system: orthorhombic

Cell: 4.6773 4.6773 2.7613 Å, 90.00 90.00 107.54°
Sites, in units of the cell vectors:
Cu: 0.0000 0.0000 0.0000
Mo: 0.5000 0.5000 0.0000
Ir: 0.0000 0.5000 0.5000
Ir: 0.5000 0.0000 0.5000

=====

Entry 2:
First-principles (PBE) data for CuMoIr2 after structural relaxation, as listed in Alexandria via LeMat-Bulk.

Computed properties:
* formation energy: 0.003 eV/atom
* D(E_F): 4.30 states/eV/f.u.
* energy above the most stable polymorph in this dataset: 12.7 kJ/mol of atoms
* total DFT energy (no corrections): -8.159 eV/atom
* M_tot: 0.00 μB/cell
* crystal system: monoclinic

Cell: 4.7693 4.7693 4.6933 Å, 99.52 99.52 33.34°
Sites, in units of the cell vectors:
Cu: 0.0000 0.0000 0.0000
Mo: 0.2383 0.2383 0.7230
Ir: 0.4872 0.4872 0.5037
Ir: 0.7523 0.7523 0.2184

=====

Entry 3:
First-principles (PBE) data for CuMoIr2 after structural relaxation, as listed in Alexandria via LeMat-Bulk.

Computed properties:
* formation energy: -0.044 eV/atom
* D(E_F): 6.43 states/eV/f.u.
* energy above the most stable polymorph in this dataset: 8.2 kJ/mol of atoms
* total DFT energy (no corrections): -8.206 eV/atom
* M_tot: 0.00 μB/cell
* crystal system: trigonal

Cell: 8.8710 8.8710 8.8710 Å, 17.93 17.93 17.93°
Sites, in units of the cell vectors:
Cu: 0.0000 0.0000 0.0000
Mo: 0.5000 0.5000 0.5000
Ir: 0.2503 0.2503 0.2503
Ir: 0.7497 0.7497 0.7497

=====

Entry 4:
First-principles (PBE) data for CuMoIr3 after structural relaxation, as listed in Alexandria via LeMat-Bulk.

Computed properties:
* formation energy: 1.609 eV/atom
* D(E_F): 9.62 states/eV/f.u.
* energy above the most stable polymorph in this dataset: 0.0 kJ/mol of atoms
* total DFT energy (no corrections): -6.693 eV/atom
* M_tot: 0.00 μB/cell
* crystal system: cubic

Cell: 4.4007 4.4007 4.4007 Å, 90.00 90.00 90.00°
Sites, in units of the cell vectors:
Cu: 0.0000 0.0000 0.0000
Mo: 0.5000 0.5000 0.5000
Ir: 0.0000 0.0000 0.5000
Ir: 0.0000 0.5000 0.0000
Ir: 0.5000 0.0000 0.0000

=====

Entry 5:
First-principles (PBE) data for CuMo2Ir after structural relaxation, as listed in Alexandria via LeMat-Bulk.

Computed properties:
* formation energy: 0.064 eV/atom
* D(E_F): 5.63 states/eV/f.u.
* energy above the most stable polymorph in this dataset: 9.9 kJ/mol of atoms
* total DFT energy (no corrections): -8.591 eV/atom
* M_tot: 0.00 μB/cell
* crystal system: tetragonal

Cell: 4.9043 4.9043 4.9043 Å, 134.94 134.94 65.62°
Sites, in units of the cell vectors:
Cu: 0.0000 0.0000 0.0000
Mo: 0.2500 0.7500 0.5000
Mo: 0.7500 0.2500 0.5000
Ir: 0.5000 0.5000 0.0000

=====

Entry 6:
First-principles (PBE) data for CuMo2Ir after structural relaxation, as listed in Alexandria via LeMat-Bulk.

Computed properties:
* formation energy: 0.232 eV/atom
* D(E_F): 5.42 states/eV/f.u.
* energy above the most stable polymorph in this dataset: 26.1 kJ/mol of atoms
* total DFT energy (no corrections): -8.422 eV/atom
* M_tot: 0.00 μB/cell
* crystal system: tetragonal

Cell: 4.6992 4.6992 2.7065 Å, 90.00 90.00 90.00°
Sites, in units of the cell vectors:
Cu: 0.0000 0.0000 0.0000
Mo: 0.0000 0.5000 0.5000
Mo: 0.5000 0.0000 0.5000
Ir: 0.5000 0.5000 0.0000

=====

Entry 7:
First-principles (PBE) data for CuMo2Ir after structural relaxation, as listed in Alexandria via LeMat-Bulk.

Computed properties:
* formation energy: 0.046 eV/atom
* D(E_F): 4.45 states/eV/f.u.
* energy above the most stable polymorph in this dataset: 8.1 kJ/mol of atoms
* total DFT energy (no corrections): -8.609 eV/atom
* M_tot: 0.00 μB/cell
* crystal system: tetragonal

Cell: 3.8196 3.8196 3.9882 Å, 90.00 90.00 90.00°
Sites, in units of the cell vectors:
Cu: 0.0000 0.0000 0.0000
Mo: 0.0000 0.5000 0.5000
Mo: 0.5000 0.0000 0.5000
Ir: 0.5000 0.5000 0.0000

=====

Entry 8:
First-principles (PBE) data for CuMoIr2 after structural relaxation, as listed in Alexandria via LeMat-Bulk.

Computed properties:
* formation energy: 0.082 eV/atom
* D(E_F): 5.72 states/eV/f.u.
* energy above the most stable polymorph in this dataset: 20.4 kJ/mol of atoms
* total DFT energy (no corrections): -8.080 eV/atom
* M_tot: 0.16 μB/cell
* crystal system: trigonal

Cell: 9.0834 9.0834 9.0834 Å, 17.30 17.30 17.30°
Sites, in units of the cell vectors:
Cu: 0.0000 0.0000 0.0000
Mo: 0.7511 0.7511 0.7511
Ir: 0.2528 0.2528 0.2528
Ir: 0.5001 0.5001 0.5001

=====

Entry 9:
First-principles (PBE) data for CuMo2Ir after structural relaxation, as listed in Alexandria via LeMat-Bulk.

Computed properties:
* formation energy: 0.141 eV/atom
* D(E_F): 5.36 states/eV/f.u.
* energy above the most stable polymorph in this dataset: 17.3 kJ/mol of atoms
* total DFT energy (no corrections): -8.514 eV/atom
* M_tot: 0.00 μB/cell
* crystal system: tetragonal

Cell: 3.2214 3.2214 5.6768 Å, 90.00 90.00 90.00°
Sites, in units of the cell vectors:
Cu: 0.0000 0.0000 0.0000
Mo: 0.0000 0.0000 0.4992
Mo: 0.5000 0.5000 0.7581
Ir: 0.5000 0.5000 0.2302

=====

Entry 10:
First-principles (PBE) data for CuMo3Ir after structural relaxation, as listed in Alexandria via LeMat-Bulk.

Computed properties:
* formation energy: 1.606 eV/atom
* D(E_F): 7.67 states/eV/f.u.
* energy above the most stable polymorph in this dataset: 0.0 kJ/mol of atoms
* total DFT energy (no corrections): -7.484 eV/atom
* M_tot: 0.00 μB/cell
* crystal system: cubic

Cell: 4.4303 4.4303 4.4303 Å, 90.00 90.00 90.00°
Sites, in units of the cell vectors:
Cu: 0.0000 0.0000 0.0000
Mo: 0.0000 0.0000 0.5000
Mo: 0.0000 0.5000 0.0000
Mo: 0.5000 0.0000 0.0000
Ir: 0.5000 0.5000 0.5000

=====

Entry 11:
First-principles (PBE) data for CuMoIr4 after structural relaxation, as listed in Alexandria via LeMat-Bulk.

Computed properties:
* formation energy: 0.364 eV/atom
* D(E_F): 5.45 states/eV/f.u.
* total DFT energy (no corrections): -8.032 eV/atom
* M_tot: 0.00 μB/cell
* crystal system: cubic

Cell: 5.1131 5.1131 5.1131 Å, 60.00 60.00 60.00°
Sites, in units of the cell vectors:
Cu: 0.0000 0.0000 0.0000
Mo: 0.2500 0.2500 0.2500
Ir: 0.1239 0.6254 0.6254
Ir: 0.6254 0.1239 0.6254
Ir: 0.6254 0.6254 0.1239
Ir: 0.6254 0.6254 0.6254

=====

Entry 12:
First-principles (PBE) data for CuMoIr2 after structural relaxation, as listed in Alexandria via LeMat-Bulk.

Computed properties:
* formation energy: 0.038 eV/atom
* D(E_F): 3.22 states/eV/f.u.
* energy above the most stable polymorph in this dataset: 16.1 kJ/mol of atoms
* total DFT energy (no corrections): -8.124 eV/atom
* M_tot: 0.00 μB/cell
* crystal system: tetragonal

Cell: 3.9375 3.9375 3.6932 Å, 90.00 90.00 90.00°
Sites, in units of the cell vectors:
Cu: 0.0000 0.0000 0.0000
Mo: 0.5000 0.5000 0.0000
Ir: 0.0000 0.5000 0.5000
Ir: 0.5000 0.0000 0.5000